[1]
Tb6Sm2Y | PBE | relaxed

## Properties
DOS(E_F) ... 57.93 states/eV/cell
E_tot ... -4.74 eV/atom
Magnetic moment ... 0.0 μB per cell
Energy relative to the lowest polymorph listed for this composition ... 0.0 kJ per mole of atoms

Geometry as CIF:
```
data_Tb6Sm2Y
_symmetry_space_group_name_H-M 'C 1 2/c 1'
_symmetry_Int_Tables_number 15
_cell_length_a 10.664
_cell_length_b 17.784
_cell_length_c 6.177
_cell_angle_alpha 90.00
_cell_angle_beta 93.50
_cell_angle_gamma 90.00
loop_
_symmetry_equiv_pos_as_xyz
'x,y,z'
'-x,-y,-z'
'-x,y,-z+1/2'
'x,-y,z+1/2'
'x+1/2,y+1/2,z'
'-x+1/2,-y+1/2,-z'
'-x+1/2,y+1/2,-z+1/2'
'x+1/2,-y+1/2,z+1/2'
loop_
_atom_site_label
_atom_site_fract_x
_atom_site_fract_y
_atom_site_fract_z
Tb1 0.085 0.088 0.006
Tb2 0.086 0.424 0.992
Tb3 0.166 0.257 0.758
Sm1 0.248 0.089 0.514
Y1 0.000 0.260 0.250
```

[2]
IrC2I2 | PBE | relaxed

## Properties
DOS(E_F) ... 12.54 states/eV/cell
E_tot ... -4.54 eV/atom
Magnetic moment ... 0.0 μB per cell
Energy relative to the lowest polymorph listed for this composition ... 0.0 kJ per mole of atoms

Geometry as CIF:
```
data_IrC2I2
_symmetry_space_group_name_H-M 'I 4/m m m'
_symmetry_Int_Tables_number 139
_symmetry_space_group_name_Hall '-I 4 2'
_cell_length_a 6.686
_cell_length_b 6.686
_cell_length_c 5.368
_cell_angle_alpha 90.00
_cell_angle_beta 90.00
_cell_angle_gamma 90.00
loop_
_atom_site_label
_atom_site_fract_x
_atom_site_fract_y
_atom_site_fract_z
Ir1 0.000 0.000 0.000
C1 0.000 0.000 0.376
I1 0.000 0.500 0.250
```

Question: magnetic moment of number 2 (IrC2I2)?
Answer: 0.0 μB per cell